# 1
Compound: CoSiCl2
Source: Alexandria
Functional: GGA-PBE
Structure: optimized geometry

The structure in CIF format:
```
data_CoSiCl2
_chemical_formula_sum 'Co4 Si4 Cl8'
_cell_length_a 6.457
_cell_length_b 6.457
_cell_length_c 6.457
_cell_angle_alpha 90.00
_cell_angle_beta 90.00
_cell_angle_gamma 90.00
_symmetry_space_group_name_H-M 'F m -3 m'
_symmetry_Int_Tables_number 225
_symmetry_space_group_name_Hall '-F 4 2 3'
loop_
_atom_site_label
_atom_site_fract_x
_atom_site_fract_y
_atom_site_fract_z
Co1 0.000 0.000 0.000
Si1 0.000 0.000 0.500
Cl1 0.250 0.250 0.250
```

Properties
Energy above the most stable polymorph in this dataset ... 3.49 eV/f.u.
ρ ... 3.9 g cm⁻³
ΔE_f (raw) ... 0.572 eV/atom

***

# 2
Compound: CoSiCl2
Source: Alexandria
Functional: GGA-PBE
Structure: optimized geometry

The structure in CIF format:
```
data_CoSiCl2
_chemical_formula_sum 'Co2 Si2 Cl4'
_cell_length_a 3.159
_cell_length_b 4.781
_cell_length_c 12.425
_cell_angle_alpha 90.00
_cell_angle_beta 90.00
_cell_angle_gamma 90.00
_symmetry_space_group_name_H-M 'I m m 2'
_symmetry_Int_Tables_number 44
loop_
_symmetry_equiv_pos_as_xyz
'x,y,z'
'-x,-y,z'
'-x,y,z'
'x,-y,z'
'x+1/2,y+1/2,z+1/2'
'-x+1/2,-y+1/2,z+1/2'
'-x+1/2,y+1/2,z+1/2'
'x+1/2,-y+1/2,z+1/2'
loop_
_atom_site_label
_atom_site_fract_x
_atom_site_fract_y
_atom_site_fract_z
Co1 0.000 0.000 0.000
Si1 0.000 0.500 0.351
Cl1 0.000 0.000 0.413
Cl2 0.000 0.500 0.629
```

Properties
Energy above the most stable polymorph in this dataset ... 1.61 eV/f.u.
ρ ... 2.8 g cm⁻³
ΔE_f (raw) ... 0.104 eV/atom

***

# 3
Compound: CoSi2TcCl
Source: Alexandria
Functional: GGA-PBE
Structure: optimized geometry

The structure in CIF format:
```
data_CoSi2TcCl
_chemical_formula_sum 'Co1 Si2 Tc1 Cl1'
_cell_length_a 4.290
_cell_length_b 4.290
_cell_length_c 4.829
_cell_angle_alpha 90.00
_cell_angle_beta 90.00
_cell_angle_gamma 90.00
_symmetry_space_group_name_H-M 'P 4/m m m'
_symmetry_Int_Tables_number 123
_symmetry_space_group_name_Hall '-P 4 2'
loop_
_atom_site_label
_atom_site_fract_x
_atom_site_fract_y
_atom_site_fract_z
Co1 0.000 0.000 0.000
Si1 0.000 0.500 0.000
Tc1 0.500 0.500 0.500
Cl1 0.000 0.000 0.500
```

Properties
ρ ... 4.6 g cm⁻³
ΔE_f (raw) ... 0.885 eV/atom

***

# 4
Compound: Y2CoSiCl
Source: Alexandria
Functional: GGA-PBE
Structure: optimized geometry

The structure in CIF format:
```
data_Y2CoSiCl
_chemical_formula_sum 'Y2 Co1 Si1 Cl1'
_cell_length_a 5.464
_cell_length_b 5.464
_cell_length_c 4.116
_cell_angle_alpha 90.00
_cell_angle_beta 90.00
_cell_angle_gamma 90.00
_symmetry_space_group_name_H-M 'P 4/m m m'
_symmetry_Int_Tables_number 123
_symmetry_space_group_name_Hall '-P 4 2'
loop_
_atom_site_label
_atom_site_fract_x
_atom_site_fract_y
_atom_site_fract_z
Y1 0.000 0.500 0.000
Co1 0.000 0.000 0.500
Si1 0.000 0.000 0.000
Cl1 0.500 0.500 0.500
```

Properties
ρ ... 4.1 g cm⁻³
ΔE_f (raw) ... -0.306 eV/atom

***

# 5
Compound: Sm4CoCl5
Source: Alexandria
Functional: GGA-PBE
Structure: optimized geometry

The structure in CIF format:
```
data_Sm4CoCl5
_chemical_formula_sum 'Sm8 Co2 Cl10'
_cell_length_a 18.418
_cell_length_b 3.914
_cell_length_c 8.316
_cell_angle_alpha 90.00
_cell_angle_beta 104.94
_cell_angle_gamma 90.00
_symmetry_space_group_name_H-M 'C 1 2/m 1'
_symmetry_Int_Tables_number 12
loop_
_symmetry_equiv_pos_as_xyz
'x,y,z'
'-x,-y,-z'
'-x,y,-z'
'x,-y,z'
'x+1/2,y+1/2,z'
'-x+1/2,-y+1/2,-z'
'-x+1/2,y+1/2,-z'
'x+1/2,-y+1/2,z'
loop_
_atom_site_label
_atom_site_fract_x
_atom_site_fract_y
_atom_site_fract_z
Sm1 0.001 0.000 0.282
Sm2 0.152 0.500 0.598
Co1 0.000 0.500 0.500
Cl1 0.000 0.500 0.000
Cl2 0.166 0.000 0.844
Cl3 0.174 0.000 0.364
```

Properties
Energy above the most stable polymorph in this dataset ... 0.00 eV/f.u.
ρ ... 4.8 g cm⁻³
ΔE_f (raw) ... -1.586 eV/atom

***

# 6
Compound: Sm2CoCl
Source: Alexandria
Functional: GGA-PBE
Structure: optimized geometry

The structure in CIF format:
```
data_Sm2CoCl
_chemical_formula_sum 'Sm2 Co1 Cl1'
_cell_length_a 3.341
_cell_length_b 3.341
_cell_length_c 7.989
_cell_angle_alpha 90.00
_cell_angle_beta 90.00
_cell_angle_gamma 90.00
_symmetry_space_group_name_H-M 'P 4/m m m'
_symmetry_Int_Tables_number 123
_symmetry_space_group_name_Hall '-P 4 2'
loop_
_atom_site_label
_atom_site_fract_x
_atom_site_fract_y
_atom_site_fract_z
Sm1 0.000 0.000 0.213
Co1 0.500 0.500 0.000
Cl1 0.500 0.500 0.500
```

Properties
Energy above the most stable polymorph in this dataset ... 0.65 eV/f.u.
ρ ... 7.4 g cm⁻³
ΔE_f (raw) ... -0.677 eV/atom

***

# 7
Compound: Sm4CoCl5
Source: Alexandria
Functional: GGA-PBE
Structure: optimized geometry

The structure in CIF format:
```
data_Sm4CoCl5
_chemical_formula_sum 'Sm8 Co2 Cl10'
_cell_length_a 18.748
_cell_length_b 3.919
_cell_length_c 8.345
_cell_angle_alpha 90.00
_cell_angle_beta 90.25
_cell_angle_gamma 90.00
_symmetry_space_group_name_H-M 'C 1 2/m 1'
_symmetry_Int_Tables_number 12
loop_
_symmetry_equiv_pos_as_xyz
'x,y,z'
'-x,-y,-z'
'-x,y,-z'
'x,-y,z'
'x+1/2,y+1/2,z'
'-x+1/2,-y+1/2,-z'
'-x+1/2,y+1/2,-z'
'x+1/2,-y+1/2,z'
loop_
_atom_site_label
_atom_site_fract_x
_atom_site_fract_y
_atom_site_fract_z
Sm1 0.000 0.000 0.221
Sm2 0.144 0.500 0.001
Co1 0.000 0.500 0.000
Cl1 0.000 0.500 0.500
Cl2 0.157 0.000 0.239
Cl3 0.157 0.000 0.763
```

Properties
Energy above the most stable polymorph in this dataset ... 0.21 eV/f.u.
ρ ... 4.5 g cm⁻³
ΔE_f (raw) ... -1.565 eV/atom

***

# 8
Compound: Sm2CoCl
Source: Alexandria
Functional: GGA-PBE
Structure: optimized geometry

The structure in CIF format:
```
data_Sm2CoCl
_chemical_formula_sum 'Sm6 Co3 Cl3'
_cell_length_a 3.8880
_cell_length_b 3.8880
_cell_length_c 22.7370
_cell_angle_alpha 90.00
_cell_angle_beta 90.00
_cell_angle_gamma 120.00
_symmetry_space_group_name_H-M 'R 3 m'
_symmetry_Int_Tables_number 160
_symmetry_space_group_name_Hall 'R 3 -2"'
loop_
_atom_site_label
_atom_site_fract_x
_atom_site_fract_y
_atom_site_fract_z
Sm1 0.0000 0.0000 0.0000
Sm2 0.0000 0.0000 0.2013
Co1 0.0000 0.0000 0.6005
Cl1 0.0000 0.0000 0.4307
```

Properties
Energy above the most stable polymorph in this dataset ... 0.09 eV/f.u.
ρ ... 6.6 g cm⁻³
ΔE_f (raw) ... -0.816 eV/atom

***

# 9
Compound: Sm3CoCl
Source: Alexandria
Functional: GGA-PBE
Structure: optimized geometry

The structure in CIF format:
```
data_Sm3CoCl
_chemical_formula_sum 'Sm6 Co2 Cl2'
_cell_length_a 8.568
_cell_length_b 3.774
_cell_length_c 8.799
_cell_angle_alpha 90.00
_cell_angle_beta 111.62
_cell_angle_gamma 90.00
_symmetry_space_group_name_H-M 'P 1 21/m 1'
_symmetry_Int_Tables_number 11
loop_
_symmetry_equiv_pos_as_xyz
'x,y,z'
'-x,-y,-z'
'-x,y+1/2,-z'
'x,-y+1/2,z'
loop_
_atom_site_label
_atom_site_fract_x
_atom_site_fract_y
_atom_site_fract_z
Sm1 0.018 0.250 0.193
Sm2 0.256 0.750 0.548
Sm3 0.379 0.750 0.196
Co1 0.372 0.250 0.407
Cl1 0.300 0.250 0.879
```

Properties
ρ ... 6.8 g cm⁻³
ΔE_f (raw) ... -0.592 eV/atom

***

# 10
Compound: Sm5CoCl5
Source: Alexandria
Functional: GGA-PBE
Structure: optimized geometry

The structure in CIF format:
```
data_Sm5CoCl5
_chemical_formula_sum 'Sm10 Co2 Cl10'
_cell_length_a 12.422
_cell_length_b 5.664
_cell_length_c 8.434
_cell_angle_alpha 90.00
_cell_angle_beta 109.27
_cell_angle_gamma 90.00
_symmetry_space_group_name_H-M 'C 1 2/m 1'
_symmetry_Int_Tables_number 12
loop_
_symmetry_equiv_pos_as_xyz
'x,y,z'
'-x,-y,-z'
'-x,y,-z'
'x,-y,z'
'x+1/2,y+1/2,z'
'-x+1/2,-y+1/2,-z'
'-x+1/2,y+1/2,-z'
'x+1/2,-y+1/2,z'
loop_
_atom_site_label
_atom_site_fract_x
_atom_site_fract_y
_atom_site_fract_z
Sm1 0.000 0.000 0.000
Sm2 0.147 0.500 0.291
Sm3 0.169 0.500 0.862
Co1 0.000 0.500 0.000
Cl1 0.000 0.500 0.500
Cl2 0.147 0.000 0.790
Cl3 0.174 0.000 0.361
```

Properties
ρ ... 5.9 g cm⁻³
ΔE_f (raw) ... -1.367 eV/atom

***

# 11
Compound: Sm2CoCl
Source: Alexandria
Functional: GGA-PBE
Structure: optimized geometry

The structure in CIF format:
```
data_Sm2CoCl
_chemical_formula_sum 'Sm6 Co3 Cl3'
_cell_length_a 3.9012
_cell_length_b 3.9012
_cell_length_c 22.4372
_cell_angle_alpha 90.00
_cell_angle_beta 90.00
_cell_angle_gamma 120.00
_symmetry_space_group_name_H-M 'R -3 m'
_symmetry_Int_Tables_number 166
_symmetry_space_group_name_Hall '-R 3 2"'
loop_
_atom_site_label
_atom_site_fract_x
_atom_site_fract_y
_atom_site_fract_z
Sm1 0.0000 0.0000 0.2335
Co1 0.0000 0.0000 0.5000
Cl1 0.0000 0.0000 0.0000
```

Properties
Energy above the most stable polymorph in this dataset ... 0.00 eV/f.u.
ρ ... 6.7 g cm⁻³
ΔE_f (raw) ... -0.839 eV/atom

***

# 12
Compound: Tb2Sm2Co2Cl
Source: Alexandria
Functional: GGA-PBE
Structure: optimized geometry

The structure in CIF format:
```
data_Tb2Sm2Co2Cl
_chemical_formula_sum 'Tb4 Sm4 Co4 Cl2'
_cell_length_a 13.536
_cell_length_b 3.680
_cell_length_c 8.472
_cell_angle_alpha 90.00
_cell_angle_beta 120.80
_cell_angle_gamma 90.00
_symmetry_space_group_name_H-M 'C 1 2/m 1'
_symmetry_Int_Tables_number 12
loop_
_symmetry_equiv_pos_as_xyz
'x,y,z'
'-x,-y,-z'
'-x,y,-z'
'x,-y,z'
'x+1/2,y+1/2,z'
'-x+1/2,-y+1/2,-z'
'-x+1/2,y+1/2,-z'
'x+1/2,-y+1/2,z'
loop_
_atom_site_label
_atom_site_fract_x
_atom_site_fract_y
_atom_site_fract_z
Tb1 0.229 0.000 0.316
Sm1 0.030 0.500 0.729
Co1 0.103 0.000 0.524
Cl1 0.000 0.000 0.000
```

Properties
ρ ... 7.1 g cm⁻³
ΔE_f (raw) ... -0.490 eV/atom